1.
This record from OQMD via LeMat-Bulk describes a geometry-optimized NaPrHgTe3 structure. The functional is GGA-PBE.

Values from the calculation:
As for the space group: Pnma, No. 62. Its relative energy among the computed polymorphs is 0.18 eV/f.u.

Cell lengths 12.829, 4.576, 13.349 Å; angles 90.00, 90.00, 90.00 degrees
Sites, in units of the cell vectors:
Na: 0.812 0.500 0.017
Na: 0.312 0.500 0.483
Na: 0.688 0.000 0.517
Na: 0.188 0.000 0.983
Hg: 0.755 0.000 0.204
Hg: 0.245 0.500 0.796
Hg: 0.255 0.000 0.296
Hg: 0.745 0.500 0.704
Te: 0.911 0.500 0.565
Te: 0.589 0.000 0.065
Te: 0.538 0.500 0.637
Te: 0.962 0.000 0.137
Te: 0.214 0.500 0.167
Te: 0.462 0.000 0.363
Te: 0.038 0.500 0.863
Te: 0.411 0.500 0.935
Te: 0.286 0.000 0.667
Te: 0.786 0.000 0.833
Te: 0.089 0.000 0.435
Te: 0.714 0.500 0.333
Pr: 0.032 0.000 0.691
Pr: 0.968 0.500 0.309
Pr: 0.468 0.500 0.191
Pr: 0.532 0.000 0.809



2.
This record from OQMD via LeMat-Bulk describes a geometry-optimized HfCd2Sn structure. The functional is GGA-PBE.

Values from the calculation:
As for the space group: F-43m, No. 216. For the total energy, the calculation gives -3.75 eV/atom.

Cell lengths 5.023, 5.023, 5.023 Å; angles 60.00, 60.00, 60.00 degrees
Sites, in units of the cell vectors:
Hf: 0.250 0.250 0.250
Cd: 0.000 0.000 0.000
Cd: 0.750 0.750 0.750
Sn: 0.500 0.500 0.500



| no. | M_tot (μB/cell) |
| --- | --- |
| 1 | 0.005 |
| 2 | 0.001 |